Entry 1:
Ta5ReMo4 PBE-GGA optimized geometry; formation energy = -246 kJ/mol of formula units; DOS at the Fermi energy = 6.28 states/eV per cell; spin magnetization = 0.0 μB/cell
1.0
-1.306 0.741 -2.851
2.697 -0.953 -1.483
-5.927 -14.951 -1.172
Ta Mo Re
5 4 1
Cartesian
0.109 -1.586 -2.283
-4.645 -13.577 -3.223
-3.458 -10.583 -2.988
-1.078 -4.580 -2.518
-2.268 -7.581 -2.753
-1.181 -2.979 -0.234
-3.558 -8.975 -0.703
-2.369 -5.977 -0.468
-4.746 -11.972 -0.938
0.000 0.000 0.000

***

Entry 2:
CsIn4Pb PBE-GGA optimized geometry; energy relative to the lowest polymorph listed for this composition = 0.000 eV per atom; formation energy = -46 kJ/mol of formula units; DOS at the Fermi energy = 3.18 states/eV per cell; spin magnetization = 0.0 μB/cell
1.0
5.337 0.000 0.000
-2.669 4.622 0.000
0.000 0.000 8.815
Pb In Cs
1 4 1
Cartesian
0.000 0.000 0.000
0.000 3.081 1.611
0.000 3.081 7.204
2.669 1.541 7.204
2.669 1.541 1.611
0.000 0.000 4.408

***

Entry 3:
SrTcI2 PBE-GGA optimized geometry; uncorrected formation energy = 0.0854 eV/atom; energy relative to the lowest polymorph listed for this composition = 0.041 eV per atom; DOS at the Fermi energy = 0.00 states/eV per cell; spin magnetization = 6.0 μB/cell
1.0
5.804 0.000 0.000
0.000 5.804 0.000
2.902 2.902 8.731
I Sr Tc
4 2 2
Cartesian
4.707 1.451 2.183
4.353 3.998 6.548
1.097 4.353 2.183
7.255 7.609 6.548
2.902 5.804 4.365
2.902 2.902 0.000
0.000 0.000 0.000
5.804 2.902 4.365

***

Entry 4:
CaPr2NdHg4 PBE-GGA optimized geometry; formation energy = -391 kJ/mol of formula units; DOS at the Fermi energy = 7.23 states/eV per cell; spin magnetization = 0.0 μB/cell
1.0
5.431 0.000 0.000
2.716 4.703 0.000
2.716 1.568 8.872
Nd Hg Pr Ca
1 4 2 1
Cartesian
5.431 3.136 4.436
8.147 4.703 3.341
2.716 1.568 5.531
5.431 3.136 1.132
5.431 3.136 7.741
8.147 4.703 6.723
2.716 1.568 2.149
0.000 0.000 0.000

***

Entry 5:
ErPu2 PBE-GGA optimized geometry; energy relative to the lowest polymorph listed for this composition = 0.065 eV per atom; formation energy = 85 kJ/mol of formula units; DOS at the Fermi energy = 8.42 states/eV per cell; spin magnetization = 0.0 μB/cell
1.0
3.312 0.000 0.000
0.000 3.312 0.000
-1.656 -1.656 5.923
Pu Er
2 1
Cartesian
1.656 1.656 2.565
0.000 0.000 3.358
0.000 0.000 0.000

***

Entry 6:
CdHPd3 PBE-GGA optimized geometry; energy relative to the lowest polymorph listed for this composition = 0.057 eV per atom; DOS at the Fermi energy = 7.77 states/eV per cell; spin magnetization = 0.0 μB/cell
1.0
-10.021 19.433 -1.920
-0.701 -0.761 -4.041
0.806 -7.965 1.359
Pd Cd H
12 4 4
Cartesian
-5.912 8.696 -0.612
-4.370 6.074 -4.690
-3.839 4.329 -2.301
-1.288 -1.480 -1.650
-5.546 4.634 0.088
-1.820 0.264 -4.039
-0.848 -5.382 -0.992
-9.067 16.090 -3.610
-8.627 12.188 -2.952
-8.096 10.443 -0.563
-4.004 2.011 -3.989
-6.077 6.378 -2.301
-8.469 14.523 -1.266
-1.447 -3.815 -3.336
-6.511 10.264 -2.957
-3.405 0.444 -1.645
-0.529 -0.576 -3.046
-5.130 5.164 -3.295
-4.785 5.543 -1.307
-9.387 11.284 -1.555

***

Entry 7:
TbNdSc2P4 PBE-GGA optimized geometry; formation energy = -1157 kJ/mol of formula units; DOS at the Fermi energy = 0.89 states/eV per cell; spin magnetization = 0.0 μB/cell
1.0
-0.418 -0.075 3.917
-6.486 -1.869 -0.729
-0.412 -6.805 -0.175
Tb Nd Sc P
1 1 2 4
Cartesian
-3.449 -4.337 -0.452
-3.452 -0.972 1.594
-0.412 -6.805 -0.175
-0.415 -3.440 1.871
-5.300 -3.159 1.354
-2.016 -5.589 1.659
-2.002 -2.279 3.705
-5.313 -6.469 -0.692

***

Entry 8:
Y4Al12Au PBE-GGA optimized geometry; formation energy = -796 kJ/mol of formula units; DOS at the Fermi energy = 3.17 states/eV per cell; spin magnetization = 0.0 μB/cell
1.0
-6.091 1.794 -4.053
0.117 -7.436 1.199
-0.230 3.606 6.610
Al Y Au
12 4 1
Cartesian
-1.550 -3.325 3.191
-1.637 -0.565 4.544
-0.079 -2.678 5.459
-0.034 -1.152 2.349
-3.189 1.743 3.231
-1.902 1.625 0.769
-4.177 -3.944 -1.995
-4.654 1.290 0.565
-4.419 3.776 1.788
-4.567 -1.471 -0.788
-3.015 -3.778 0.525
-1.797 -1.697 -0.859
0.058 -3.718 0.599
-3.102 -1.018 1.878
-3.045 0.897 -2.026
-0.115 1.803 3.305
0.000 0.000 0.000

***

- What is the formula in the sixth record?
  CdHPd3